DFT (PBE) results for a geometry-optimized CuPd5Pt structure.

a = 8.5560 Å, b = 8.3628 Å, c = 4.8547 Å
α = 109.01°, β = 100.53°, γ = 128.02°
Atoms (fractional coordinates):
Cu (0.0000, 0.0000, 0.0000)
Cu (0.5000, 0.0000, 0.5000)
Pd (0.9907, 0.3303, 0.9897)
Pd (0.2024, 0.7311, 0.6198)
Pd (0.2049, 0.0660, 0.5943)
Pd (0.4048, 0.1440, 0.1881)
Pd (0.6046, 0.5285, 0.8039)
Pd (0.3954, 0.4715, 0.1961)
Pd (0.5952, 0.8560, 0.8119)
Pd (0.7951, 0.9340, 0.4057)
Pd (0.7976, 0.2689, 0.3802)
Pd (0.0093, 0.6697, 0.0103)
Pt (0.8048, 0.6071, 0.4069)
Pt (0.1952, 0.3929, 0.5931)

Results
E in eV/atom: -5.0638
Energy relative to the elements in eV per formula unit: 0.65
Space group: P-1 (2)
Energy above the lowest structure with this stoichiometry in meV/atom: 0
Density of states at the Fermi level in states/eV/cell: 26.05
Total moment in μB per cell: 0.00